## CoPbAu2 (PBE)

Data for a relaxed CoPbAu2 crystal.

Results
* theoretical density: 14.2 g cm⁻³
* raw total energy: -16.14 eV per cell
* formation energy: 1.229 eV per formula unit

The structure in CIF format:
```
data_CoPbAu2
_chemical_formula_sum 'Co1 Pb1 Au2'
_symmetry_space_group_name_H-M 'P 1 m 1'
_symmetry_Int_Tables_number 6
_cell_length_a 3.5261
_cell_length_b 4.0778
_cell_length_c 5.5881
_cell_angle_alpha 90.00
_cell_angle_beta 106.65
_cell_angle_gamma 90.00
loop_
_symmetry_equiv_pos_as_xyz
'x,y,z'
'x,-y,z'
loop_
_atom_site_label
_atom_site_type_symbol
_atom_site_fract_x
_atom_site_fract_y
_atom_site_fract_z
Co1 Co 0.0000 0.0000 0.0000
Pb1 Pb 0.5609 0.5000 0.1431
Au1 Au 0.2709 0.0000 0.5261
Au2 Au 0.8448 0.5000 0.6820
```